1.
Computed, not measured: a relaxed structure of La2CoMo at the PBE-GGA level of DFT.

CIF file:
```
data_La2CoMo
_space_group_name_H-M_alt 'P 1'
_space_group_IT_number 1
_space_group_name_Hall 'P 1'
_cell_length_a 6.2805
_cell_length_b 6.2805
_cell_length_c 6.2805
_cell_angle_alpha 104.25
_cell_angle_beta 104.25
_cell_angle_gamma 120.51
loop_
_atom_site_label
_atom_site_fract_x
_atom_site_fract_y
_atom_site_fract_z
La1 0.0892 0.6250 0.9642
La2 0.3750 0.3392 0.4642
La3 0.6608 0.1250 0.0358
La4 0.8750 0.9108 0.5358
Co1 0.0000 0.0000 0.0000
Co2 0.7500 0.2500 0.5000
Mo1 0.2500 0.7500 0.5000
Mo2 0.5000 0.5000 0.0000
```

Total magnetization (μB per cell): 4.5
Space-group type: I-42d, No. 122
DFT formation energy (meV/atom): 641
E (eV per cell): -50.5
N(E_F) (states/eV per atom): 1.33

2.
Computed, not measured: a relaxed structure of La2CoMo at the PBE-GGA level of DFT.

CIF file:
```
data_La2CoMo
_space_group_name_H-M_alt 'P 1'
_space_group_IT_number 1
_space_group_name_Hall 'P 1'
_cell_length_a 3.5819
_cell_length_b 4.3808
_cell_length_c 5.4781
_cell_angle_alpha 90.00
_cell_angle_beta 90.00
_cell_angle_gamma 90.00
loop_
_atom_site_label
_atom_site_fract_x
_atom_site_fract_y
_atom_site_fract_z
La1 0.0000 0.0000 0.0000
La2 0.5000 0.0000 0.5000
Co1 0.0000 0.5000 0.5000
Mo1 0.5000 0.5000 0.0000
```

Total magnetization (μB per cell): 0.0
Space-group type: Pmmm, No. 47
DFT formation energy (meV/atom): 562
E (eV per cell): -25.5
N(E_F) (states/eV per atom): 0.95

3.
Computed, not measured: a relaxed structure of LaCo2Mo at the PBE-GGA level of DFT.

CIF file:
```
data_LaCo2Mo
_space_group_name_H-M_alt 'P 1'
_space_group_IT_number 1
_space_group_name_Hall 'P 1'
_cell_length_a 9.4537
_cell_length_b 9.4537
_cell_length_c 9.4537
_cell_angle_alpha 17.59
_cell_angle_beta 17.59
_cell_angle_gamma 17.59
loop_
_atom_site_label
_atom_site_fract_x
_atom_site_fract_y
_atom_site_fract_z
La1 0.0000 0.0000 0.0000
Co1 0.4905 0.4905 0.4905
Co2 0.7608 0.7608 0.7608
Mo1 0.2289 0.2289 0.2289
```

Total magnetization (μB per cell): 3.0
Space-group type: R3m, No. 160
DFT formation energy (meV/atom): 706
E (eV per cell): -27.1
N(E_F) (states/eV per atom): 1.29

4.
Computed, not measured: a relaxed structure of LaCoMo2P at the PBE-GGA level of DFT.

CIF file:
```
data_LaCoMo2P
_space_group_name_H-M_alt 'P 1'
_space_group_IT_number 1
_space_group_name_Hall 'P 1'
_cell_length_a 4.6536
_cell_length_b 4.6536
_cell_length_c 4.2204
_cell_angle_alpha 90.00
_cell_angle_beta 90.00
_cell_angle_gamma 90.00
loop_
_atom_site_label
_atom_site_fract_x
_atom_site_fract_y
_atom_site_fract_z
La1 0.0000 0.0000 0.0000
Co1 0.5000 0.5000 0.0000
Mo1 0.0000 0.5000 0.5000
Mo2 0.5000 0.0000 0.5000
P1 0.5000 0.5000 0.5000
```

Total magnetization (μB per cell): 0.0
Space-group type: P4/mmm, No. 123
DFT formation energy (meV/atom): 157
E (eV per cell): -38.3
N(E_F) (states/eV per atom): 1.90

5.
Computed, not measured: a relaxed structure of LaCoMo2Se at the PBE-GGA level of DFT.

CIF file:
```
data_LaCoMo2Se
_space_group_name_H-M_alt 'P 1'
_space_group_IT_number 1
_space_group_name_Hall 'P 1'
_cell_length_a 4.7928
_cell_length_b 4.7928
_cell_length_c 4.3702
_cell_angle_alpha 90.00
_cell_angle_beta 90.00
_cell_angle_gamma 90.00
loop_
_atom_site_label
_atom_site_fract_x
_atom_site_fract_y
_atom_site_fract_z
La1 0.0000 0.0000 0.0000
Co1 0.5000 0.5000 0.0000
Mo1 0.0000 0.5000 0.5000
Mo2 0.5000 0.0000 0.5000
Se1 0.5000 0.5000 0.5000
```

Total magnetization (μB per cell): 1.3
E_form (uncorrected) (meV per atom): 522.8
Space-group type: P4/mmm, No. 123
E (eV per cell): -34.6
N(E_F) (states/eV per atom): 0.70

6.
Computed, not measured: a relaxed structure of LaCoN3 at the PBE-GGA level of DFT.

CIF file:
```
data_LaCoN3
_space_group_name_H-M_alt 'P 1'
_space_group_IT_number 1
_space_group_name_Hall 'P 1'
_cell_length_a 4.0613
_cell_length_b 5.7631
_cell_length_c 7.5111
_cell_angle_alpha 77.39
_cell_angle_beta 89.82
_cell_angle_gamma 69.41
loop_
_atom_site_label
_atom_site_fract_x
_atom_site_fract_y
_atom_site_fract_z
La1 0.1649 0.1722 0.3030
La2 0.8351 0.8278 0.6970
Co1 0.4588 0.5827 0.3455
Co2 0.5412 0.4173 0.6545
N1 0.3496 0.7972 0.9591
N2 0.3660 0.7678 0.5256
N3 0.3932 0.7121 0.1189
N4 0.6068 0.2879 0.8811
N5 0.6340 0.2322 0.4744
N6 0.6504 0.2028 0.0409
```

Total magnetization (μB per cell): 0.0
E_form (uncorrected) (meV per atom): -571.5
Space-group type: P-1, No. 2
E (eV per cell): -79.7
N(E_F) (states/eV per atom): 0.00

7.
Computed, not measured: a relaxed structure of LaCoN3 at the PBE-GGA level of DFT.

CIF file:
```
data_LaCoN3
_space_group_name_H-M_alt 'P 1'
_space_group_IT_number 1
_space_group_name_Hall 'P 1'
_cell_length_a 7.0815
_cell_length_b 4.6840
_cell_length_c 11.1456
_cell_angle_alpha 90.00
_cell_angle_beta 127.22
_cell_angle_gamma 90.00
loop_
_atom_site_label
_atom_site_fract_x
_atom_site_fract_y
_atom_site_fract_z
La1 0.2386 0.2104 0.3921
La2 0.2386 0.2896 0.8921
La3 0.7614 0.7104 0.1079
La4 0.7614 0.7896 0.6079
Co1 0.3456 0.7181 0.7191
Co2 0.3456 0.7819 0.2191
Co3 0.6544 0.2181 0.7809
Co4 0.6544 0.2819 0.2809
N1 0.1047 0.0030 0.0328
N2 0.1047 0.4970 0.5328
N3 0.1866 0.6982 0.2944
N4 0.1866 0.8018 0.7944
N5 0.4431 0.5349 0.1483
N6 0.4431 0.9651 0.6483
N7 0.5569 0.0349 0.3517
N8 0.5569 0.4651 0.8517
N9 0.8134 0.1982 0.2056
N10 0.8134 0.3018 0.7056
N11 0.8953 0.5030 0.4672
N12 0.8953 0.9970 0.9672
```

Total magnetization (μB per cell): 2.2
E_form (uncorrected) (meV per atom): -344.7
Space-group type: P2_1/c, No. 14
E (eV per cell): -154.9
N(E_F) (states/eV per atom): 0.58

8.
Computed, not measured: a relaxed structure of LaCoN3 at the PBE-GGA level of DFT.

CIF file:
```
data_LaCoN3
_space_group_name_H-M_alt 'P 1'
_space_group_IT_number 1
_space_group_name_Hall 'P 1'
_cell_length_a 4.0850
_cell_length_b 5.5542
_cell_length_c 7.3602
_cell_angle_alpha 86.96
_cell_angle_beta 79.69
_cell_angle_gamma 76.32
loop_
_atom_site_label
_atom_site_fract_x
_atom_site_fract_y
_atom_site_fract_z
La1 0.0000 0.0000 0.0000
La2 0.3164 0.3346 0.5555
Co1 0.5963 0.4922 0.8684
Co2 0.7487 0.8688 0.6736
N1 0.0121 0.7690 0.4496
N2 0.2397 0.3196 0.2041
N3 0.3888 0.3865 0.0637
N4 0.5967 0.8081 0.9069
N5 0.8106 0.9368 0.3891
N6 0.8424 0.2061 0.7101
```

Total magnetization (μB per cell): 0.0
E_form (uncorrected) (meV per atom): -419.2
Space-group type: P1, No. 1
E (eV per cell): -78.2
N(E_F) (states/eV per atom): 0.00

9.
Computed, not measured: a relaxed structure of LaCoN3 at the PBE-GGA level of DFT.

CIF file:
```
data_LaCoN3
_space_group_name_H-M_alt 'P 1'
_space_group_IT_number 1
_space_group_name_Hall 'P 1'
_cell_length_a 3.7892
_cell_length_b 3.7892
_cell_length_c 4.5643
_cell_angle_alpha 90.00
_cell_angle_beta 90.00
_cell_angle_gamma 90.00
loop_
_atom_site_label
_atom_site_fract_x
_atom_site_fract_y
_atom_site_fract_z
La1 0.0000 0.0000 0.0000
Co1 0.5000 0.5000 0.4964
N1 0.0000 0.0000 0.4999
N2 0.0000 0.5000 0.4975
N3 0.5000 0.0000 0.4975
```

Total magnetization (μB per cell): 0.9
E_form (uncorrected) (meV per atom): 485.9
Space-group type: P4mm, No. 99
E (eV per cell): -34.6
N(E_F) (states/eV per atom): 0.57

10.
Computed, not measured: a relaxed structure of La8Co2N at the PBE-GGA level of DFT.

CIF file:
```
data_La8Co2N
_space_group_name_H-M_alt 'P 1'
_space_group_IT_number 1
_space_group_name_Hall 'P 1'
_cell_length_a 9.6192
_cell_length_b 9.6192
_cell_length_c 9.0264
_cell_angle_alpha 92.57
_cell_angle_beta 92.57
_cell_angle_gamma 22.45
loop_
_atom_site_label
_atom_site_fract_x
_atom_site_fract_y
_atom_site_fract_z
La1 0.0166 0.0166 0.1893
La2 0.2242 0.2242 0.3304
La3 0.3611 0.3611 0.0373
La4 0.3987 0.3987 0.4521
La5 0.6013 0.6013 0.5479
La6 0.6389 0.6389 0.9627
La7 0.7758 0.7758 0.6696
La8 0.9834 0.9834 0.8107
Co1 0.1598 0.1598 0.7278
Co2 0.8402 0.8402 0.2722
N1 0.5000 0.5000 0.0000
```

Total magnetization (μB per cell): 0.0
E_form (uncorrected) (meV per atom): -285.5
Space-group type: C2/m, No. 12
E (eV per cell): -65.1
N(E_F) (states/eV per atom): 1.26

11.
Computed, not measured: a relaxed structure of LaCoN3 at the PBE-GGA level of DFT.

CIF file:
```
data_LaCoN3
_space_group_name_H-M_alt 'P 1'
_space_group_IT_number 1
_space_group_name_Hall 'P 1'
_cell_length_a 4.0714
_cell_length_b 6.0253
_cell_length_c 6.7419
_cell_angle_alpha 66.50
_cell_angle_beta 74.80
_cell_angle_gamma 70.84
loop_
_atom_site_label
_atom_site_fract_x
_atom_site_fract_y
_atom_site_fract_z
La1 0.0000 0.0000 0.0000
La2 0.4583 0.4948 0.4857
Co1 0.3862 0.0627 0.3676
Co2 0.8692 0.9085 0.6010
N1 0.0551 0.1545 0.5799
N2 0.3712 0.3277 0.9058
N3 0.3756 0.2593 0.1025
N4 0.6303 0.6741 0.0585
N5 0.6945 0.7539 0.8607
N6 0.8168 0.7956 0.3881
```

Total magnetization (μB per cell): 0.0
E_form (uncorrected) (meV per atom): -474.3
Space-group type: P1, No. 1
E (eV per cell): -78.8
N(E_F) (states/eV per atom): 0.21

12.
Computed, not measured: a relaxed structure of LaCoN3 at the PBE-GGA level of DFT.

CIF file:
```
data_LaCoN3
_space_group_name_H-M_alt 'P 1'
_space_group_IT_number 1
_space_group_name_Hall 'P 1'
_cell_length_a 6.0699
_cell_length_b 6.0699
_cell_length_c 6.0699
_cell_angle_alpha 49.50
_cell_angle_beta 49.50
_cell_angle_gamma 49.50
loop_
_atom_site_label
_atom_site_fract_x
_atom_site_fract_y
_atom_site_fract_z
La1 0.1152 0.1152 0.1152
La2 0.8848 0.8848 0.8848
Co1 0.3358 0.3358 0.3358
Co2 0.6642 0.6642 0.6642
N1 0.0695 0.5795 0.5795
N2 0.4205 0.4205 0.9305
N3 0.4205 0.9305 0.4205
N4 0.5795 0.0695 0.5795
N5 0.5795 0.5795 0.0695
N6 0.9305 0.4205 0.4205
```

Total magnetization (μB per cell): 0.0
E_form (uncorrected) (meV per atom): 23.1
Space-group type: R-3m, No. 166
E (eV per cell): -73.8
N(E_F) (states/eV per atom): 0.03

> Among the records above, which one has the lowest E?

number 7